Entry 1:
The following is a meta-GGA SCAN calculation of Sr2TaVO6 at its PBEsol-relaxed geometry, from Alexandria via LeMat-Bulk.

```
Sr2TaVO6
1.0
-0.024 2.846 -4.789
0.384 -5.558 -0.064
-4.287 -3.068 -1.802
Sr Ta V O
2 1 1 6
direct
0.750 0.500 0.750 Sr
0.250 0.500 0.250 Sr
0.500 0.000 0.500 Ta
0.000 0.000 0.000 V
0.248 0.000 0.248 O
0.752 0.000 0.752 O
0.248 0.497 0.752 O
0.752 0.503 0.248 O
0.248 0.000 0.752 O
0.752 0.000 0.248 O
```

## Properties
ΔE_f (raw)	-3.197	eV/atom
crystal system	cubic
calculated volume	12.23	Å³/atom
total magnetization	2.00	μB per cell

=====

Entry 2:
The following is a meta-GGA SCAN calculation of As2IrRu2 at its PBEsol-relaxed geometry, from Alexandria via LeMat-Bulk.

```
As2IrRu2
1.0
-1.429 -2.564 -2.237
2.813 -2.255 0.787
-3.605 0.278 5.029
Ru As Ir
2 2 1
direct
0.392 0.392 0.785 Ru
0.608 0.608 0.215 Ru
0.250 0.750 0.500 As
0.750 0.250 0.500 As
0.000 0.000 0.000 Ir
```

## Properties
crystal system	tetragonal
calculated volume	15.30	Å³/atom
energy	-35.880	eV per atom
total magnetization	0.00	μB per cell

=====

Entry 3:
The following is a meta-GGA SCAN calculation of Zr2AlBr at its PBEsol-relaxed geometry, from Alexandria via LeMat-Bulk.

```
Zr2AlBr
1.0
-1.219 -2.020 2.195
4.688 -2.912 -0.078
-0.035 5.111 2.319
Br Zr Al
1 2 1
direct
0.000 0.500 0.000 Br
0.740 0.740 0.479 Zr
0.260 0.260 0.521 Zr
0.500 0.000 0.000 Al
```

## Properties
ΔE_f (raw)	-0.165	eV/atom
crystal system	orthorhombic
calculated volume	20.52	Å³/atom
total magnetization	0.00	μB per cell
distance to the lowest polymorph of the same formula	82	meV/atom

=====

Entry 4:
The following is a meta-GGA SCAN calculation of Mg2Ta2Co at its PBEsol-relaxed geometry, from Alexandria via LeMat-Bulk.

```
Mg2Ta2Co
1.0
3.604 0.000 0.000
0.000 3.604 0.000
-1.802 -1.802 7.594
Co Mg Ta
1 2 2
direct
0.000 0.000 0.000 Co
0.588 0.588 0.176 Mg
0.412 0.412 0.824 Mg
0.250 0.750 0.500 Ta
0.750 0.250 0.500 Ta
```

## Properties
crystal system	tetragonal
calculated volume	19.73	Å³/atom
energy	-31.312	eV per atom
total magnetization	1.87	μB per cell

=====

Entry 5:
The following is a meta-GGA SCAN calculation of LaHg2Os at its PBEsol-relaxed geometry, from Alexandria via LeMat-Bulk.

```
LaHg2Os
1.0
-3.743 -2.001 -2.551
-0.629 -4.912 -0.030
-3.832 -2.020 2.400
Hg La Os
2 1 1
direct
0.250 0.250 0.250 Hg
0.750 0.750 0.750 Hg
0.000 0.000 0.000 La
0.500 0.500 0.500 Os
```

## Properties
crystal system	cubic
calculated volume	21.47	Å³/atom
energy	-62.555	eV per atom
total magnetization	1.00	μB per cell

=====

Entry 6:
The following is a meta-GGA SCAN calculation of ScTlTe2 at its PBEsol-relaxed geometry, from Alexandria via LeMat-Bulk.

```
ScTlTe2
1.0
-2.004 3.108 1.930
-3.549 1.502 -1.596
-5.991 -3.757 4.336
Sc Tl Te
1 1 2
direct
0.000 0.000 0.000 Sc
0.500 0.500 0.500 Tl
0.736 0.736 0.792 Te
0.264 0.264 0.208 Te
```

## Properties
ΔE_f (raw)	-1.005	eV/atom
crystal system	trigonal
calculated volume	29.91	Å³/atom
total magnetization	0.00	μB per cell

=====

Entry 7:
The following is a meta-GGA SCAN calculation of CrAgW2 at its PBEsol-relaxed geometry, from Alexandria via LeMat-Bulk.

```
CrAgW2
1.0
2.727 0.000 0.000
1.363 2.361 0.000
1.363 0.787 9.366
Ag Cr W
1 1 2
direct
0.500 0.500 0.500 Ag
0.000 0.000 0.000 Cr
0.255 0.255 0.235 W
0.745 0.745 0.765 W
```

## Properties
crystal system	trigonal
calculated volume	15.07	Å³/atom
total magnetization	2.19	μB per cell
distance to the lowest polymorph of the same formula	70	meV/atom

=====

Entry 8:
The following is a meta-GGA SCAN calculation of PIrAu at its PBEsol-relaxed geometry, from Alexandria via LeMat-Bulk.

```
PIrAu
1.0
2.901 0.000 0.000
-1.451 2.512 0.000
0.000 0.000 6.292
Au Ir P
1 1 1
direct
0.000 0.000 0.003 Au
0.333 0.667 0.628 Ir
0.667 0.333 0.369 P
```

## Properties
crystal system	trigonal
calculated volume	15.29	Å³/atom
energy	-50.102	eV per atom
total magnetization	0.00	μB per cell